(1)
# Nd5Al2Sn, relaxed, DFT PBE
data_Nd5Al2Sn
_chemical_formula_sum 'Nd10 Al4 Sn2'
_symmetry_space_group_name_H-M 'P 1'
_symmetry_Int_Tables_number 1
_cell_length_a 8.189
_cell_length_b 8.189
_cell_length_c 9.195
_cell_angle_alpha 116.44
_cell_angle_beta 116.44
_cell_angle_gamma 90.00
loop_
_symmetry_equiv_pos_as_xyz
'x,y,z'
loop_
_atom_site_label
_atom_site_type_symbol
_atom_site_fract_x
_atom_site_fract_y
_atom_site_fract_z
Nd1 Nd 0.523 0.680 0.704
Nd2 Nd 0.820 0.977 0.296
Nd3 Nd 0.000 0.000 0.000
Nd4 Nd 0.500 0.500 0.000
Nd5 Nd 0.180 0.023 0.704
Nd6 Nd 0.680 0.180 0.704
Nd7 Nd 0.023 0.523 0.704
Nd8 Nd 0.320 0.820 0.296
Nd9 Nd 0.977 0.477 0.296
Nd10 Nd 0.477 0.320 0.296
Al1 Al 0.118 0.382 0.000
Al2 Al 0.618 0.118 0.000
Al3 Al 0.382 0.882 0.000
Al4 Al 0.882 0.618 0.000
Sn1 Sn 0.750 0.750 0.500
Sn2 Sn 0.250 0.250 0.500
# Mass density in Mg/m³: 6.2
# Total energy in eV/cell: -77.25
# Density of states at the Fermi level in states/eV per cell: 18.28
# ΔE_f in meV per atom: -412



(2)
# PdIBr2, relaxed, DFT PBE
data_PdIBr2
_chemical_formula_sum 'Pd1 I1 Br2'
_symmetry_space_group_name_H-M 'P 1'
_symmetry_Int_Tables_number 1
_cell_length_a 11.727
_cell_length_b 11.727
_cell_length_c 11.727
_cell_angle_alpha 18.37
_cell_angle_beta 18.37
_cell_angle_gamma 18.37
loop_
_symmetry_equiv_pos_as_xyz
'x,y,z'
loop_
_atom_site_label
_atom_site_type_symbol
_atom_site_fract_x
_atom_site_fract_y
_atom_site_fract_z
I1 I 0.000 0.000 0.000
Br1 Br 0.878 0.878 0.878
Br2 Br 0.122 0.122 0.122
Pd1 Pd 0.500 0.500 0.500
# Mass density in Mg/m³: 4.7
# Formation energy without anion corrections in eV per atom: 0.0060
# Total energy in eV/cell: -10.06
# Density of states at the Fermi level in states/eV per cell: 3.42
# ΔE to the lowest computed polymorph in eV/atom: 0.177



(3)
# Pr7Dy2, relaxed, DFT PBE
data_Pr7Dy2
_chemical_formula_sum 'Pr7 Dy2'
_symmetry_space_group_name_H-M 'P 1'
_symmetry_Int_Tables_number 1
_cell_length_a 6.371
_cell_length_b 6.371
_cell_length_c 8.999
_cell_angle_alpha 90.00
_cell_angle_beta 90.00
_cell_angle_gamma 120.00
loop_
_symmetry_equiv_pos_as_xyz
'x,y,z'
loop_
_atom_site_label
_atom_site_type_symbol
_atom_site_fract_x
_atom_site_fract_y
_atom_site_fract_z
Pr1 Pr 0.000 0.000 0.000
Pr2 Pr 0.666 0.000 0.330
Pr3 Pr 0.000 0.666 0.330
Pr4 Pr 0.334 0.334 0.330
Pr5 Pr 0.000 0.334 0.670
Pr6 Pr 0.334 0.000 0.670
Pr7 Pr 0.666 0.666 0.670
Dy1 Dy 0.333 0.667 0.000
Dy2 Dy 0.667 0.333 0.000
# Mass density in Mg/m³: 6.9
# Total energy in eV/cell: -42.52
# Density of states at the Fermi level in states/eV per cell: 13.25
# ΔE_f in meV per atom: 16
# ΔE to the lowest computed polymorph in eV/atom: 0.000